Entry from Alexandria via LeMat-Bulk: a relaxed structure of Li5Ca2Cu (PBE-GGA).

Cell lengths 5.7625, 5.7625, 7.3156 Å; angles 112.87, 112.87, 89.58 degrees
Fractional coordinates of all 8 atoms:
Li 0.0000 0.0000 0.0000
Li 0.4053 0.4053 0.2940
Li 0.5173 0.5173 0.9991
Li 0.5177 0.9990 0.9999
Li 0.9990 0.5177 0.9999
Ca 0.0228 0.5226 0.5284
Ca 0.5226 0.0228 0.5284
Cu 0.6117 0.6117 0.7037

Values from the calculation:
ΔE_f   0.0497 eV per atom
Volume   25.408 A^3/atom
Symmetry   Cm

Entry from Alexandria via LeMat-Bulk: a relaxed structure of Pm5HoTl4 (PBE-GGA).

Cell lengths 8.3833, 9.3280, 8.7019 Å; angles 90.00, 90.00, 90.00 degrees
Fractional coordinates of all 20 atoms:
Pm 0.0117 0.0559 0.2331
Pm 0.0117 0.4441 0.2331
Pm 0.2500 0.7500 0.1722
Pm 0.4883 0.0559 0.2331
Pm 0.4883 0.4441 0.2331
Pm 0.5117 0.5559 0.7669
Pm 0.5117 0.9441 0.7669
Pm 0.7500 0.2500 0.8278
Pm 0.9883 0.5559 0.7669
Pm 0.9883 0.9441 0.7669
Ho 0.2500 0.2500 0.5846
Ho 0.7500 0.7500 0.4154
Tl 0.0819 0.2500 0.9354
Tl 0.2500 0.5838 0.5012
Tl 0.2500 0.9162 0.5012
Tl 0.4181 0.2500 0.9354
Tl 0.5819 0.7500 0.0646
Tl 0.7500 0.0838 0.4988
Tl 0.7500 0.4162 0.4988
Tl 0.9181 0.7500 0.0646

Values from the calculation:
ΔE_f   -0.0324 eV per atom
Energy relative to the lowest polymorph listed for this composition   259 meV/atom
Volume   34.024 A^3/atom
Symmetry   Pmmn

Entry from Alexandria via LeMat-Bulk: a relaxed structure of TbZrSe2 (PBE-GGA).

Cell lengths 7.4561, 7.4561, 7.4561 Å; angles 29.70, 29.70, 29.70 degrees
Fractional coordinates of all 4 atoms:
Tb 0.0000 0.0000 0.0000
Zr 0.1718 0.1718 0.1718
Se 0.5814 0.5814 0.5814
Se 0.7574 0.7574 0.7574

Values from the calculation:
Formation energy from raw total energies   -135 kJ/mol of atoms
Energy relative to the lowest polymorph listed for this composition   0 meV/atom
Volume   22.526 A^3/atom
Symmetry   R3m

Entry from Alexandria via LeMat-Bulk: a relaxed structure of Mg2TeI (PBE-GGA).

Cell lengths 5.3415, 5.3415, 5.3415 Å; angles 60.00, 60.00, 60.00 degrees
Fractional coordinates of all 4 atoms:
Mg 0.2500 0.2500 0.2500
Mg 0.7500 0.7500 0.7500
Te 0.0000 0.0000 0.0000
I 0.5000 0.5000 0.5000

Values from the calculation:
Formation energy from raw total energies   -35 kJ/mol of atoms
Energy relative to the lowest polymorph listed for this composition   89 meV/atom
Volume   26.941 A^3/atom
Symmetry   Fm-3m

Entry from Alexandria via LeMat-Bulk: a relaxed structure of LuBeSn (PBE-GGA).

Cell lengths 4.1411, 4.1411, 4.0756 Å; angles 90.00, 90.00, 120.00 degrees
Fractional coordinates of all 3 atoms:
Lu 0.0000 0.0000 0.0000
Be 0.3333 0.6667 0.5023
Sn 0.6667 0.3333 0.4996

Values from the calculation:
ΔE_f   -0.3569 eV per atom
Volume   20.176 A^3/atom
Symmetry   P3m1

Entry from Alexandria via LeMat-Bulk: a relaxed structure of NaCaNb2O6 (PBE-GGA).

Cell lengths 7.1750, 7.1750, 5.7762 Å; angles 101.73, 101.73, 66.59 degrees
Fractional coordinates of all 20 atoms:
Na 0.1419 0.8581 0.7500
Na 0.8581 0.1419 0.2500
Ca 0.3837 0.6163 0.2500
Ca 0.6163 0.3837 0.7500
Nb 0.1548 0.3430 0.6959
Nb 0.3430 0.1548 0.1959
Nb 0.6570 0.8452 0.8041
Nb 0.8452 0.6570 0.3041
O 0.1119 0.1875 0.9199
O 0.1385 0.4865 0.3443
O 0.1875 0.1119 0.4199
O 0.2742 0.5352 0.8537
O 0.4648 0.7258 0.6463
O 0.4865 0.1385 0.8443
O 0.5135 0.8615 0.1557
O 0.5352 0.2742 0.3537
O 0.7258 0.4648 0.1463
O 0.8125 0.8881 0.5801
O 0.8615 0.5135 0.6557
O 0.8881 0.8125 0.0801

Values from the calculation:
Formation energy from raw total energies   -239 kJ/mol of atoms
Volume   13.234 A^3/atom
Symmetry   C2/c

Entry from Alexandria via LeMat-Bulk: a relaxed structure of Tl2SeBr6 (PBE-GGA).

Cell lengths 7.4500, 7.4500, 7.0168 Å; angles 91.60, 91.60, 60.29 degrees
Fractional coordinates of all 9 atoms:
Tl 0.1710 0.1710 0.1453
Tl 0.8290 0.8290 0.8547
Se 0.5000 0.5000 0.0000
Br 0.1742 0.6656 0.2137
Br 0.3326 0.3326 0.7812
Br 0.3344 0.8258 0.7863
Br 0.6656 0.1742 0.2137
Br 0.6674 0.6674 0.2188
Br 0.8258 0.3344 0.7863

Values from the calculation:
Formation energy from raw total energies   -44 kJ/mol of atoms
Volume   37.564 A^3/atom
Symmetry   C2/m

Entry from Alexandria via LeMat-Bulk: a relaxed structure of CaWBr2 (PBE-GGA).

Cell lengths 3.3732, 3.3732, 10.5803 Å; angles 90.00, 90.00, 90.00 degrees
Fractional coordinates of all 4 atoms:
Ca 0.0000 0.0000 0.0000
W 0.0000 0.0000 0.5000
Br 0.5000 0.5000 0.1657
Br 0.5000 0.5000 0.8343

Values from the calculation:
Formation energy from raw total energies   33 kJ/mol of atoms
Energy relative to the lowest polymorph listed for this composition   420 meV/atom
Volume   30.097 A^3/atom
Symmetry   P4/mmm

Question: Which formula does entry 6 have?
Answer: NaCaNb2O6

Question: Which of these has the lowest volume?
Answer: NaCaNb2O6

Question: Which value of volume does entry 6 give?
Answer: 13.234 A^3/atom

Question: What is the volume in the second record?
Answer: 34.024 A^3/atom